Record 1
The following is a DFT calculation (GGA-PBE) of HoThCo after structural relaxation.

Cell and atoms, written as POSCAR:
```
HoThCo
1.0
6.7950 0.0000 0.0000
0.0000 7.1291 0.0000
-3.0004 0.0000 6.3465
Ho Th Co
4 4 4
Direct
0.2072 0.1714 0.0572
0.2072 0.3286 0.5572
0.7928 0.6714 0.4428
0.7928 0.8286 0.9428
0.2774 0.6705 0.9739
0.2774 0.8295 0.4739
0.7226 0.1705 0.5261
0.7226 0.3295 0.0261
0.0513 0.5621 0.2055
0.0513 0.9379 0.7055
0.9487 0.0621 0.2945
0.9487 0.4379 0.7945
```

E_form (meV/atom): -100.6
Total magnetic moment (μB/atom): 0.000
Energy above the most stable polymorph in this dataset (meV/atom): 83



Record 2
The following is a DFT calculation (GGA-PBE) of BaCd2Se after structural relaxation.

Cell and atoms, written as POSCAR:
```
BaCd2Se
1.0
6.6918 -2.1448 0.0000
6.6918 2.1448 0.0000
-1.6853 0.0000 4.4556
Ba Cd Se
1 2 1
Direct
0.0000 0.0000 0.0000
0.2388 0.2388 0.7386
0.7612 0.7612 0.2614
0.5000 0.5000 0.5000
```

Final energy (eV/atom): -2.52
Total magnetic moment (μB/atom): 0.000



Record 3
The following is a DFT calculation (GGA-PBE) of Ca4PuPa3Bi8 after structural relaxation.

Cell and atoms, written as POSCAR:
```
Ca4PuPa3Bi8
1.0
4.5656 2.6359 7.4453
-4.5656 2.6359 7.4453
0.0000 -5.2718 7.4453
Ca Pu Pa Bi
4 1 3 8
Direct
0.0000 0.0000 0.0000
0.0000 0.5000 0.5000
0.5000 0.0000 0.5000
0.5000 0.5000 0.0000
0.5000 0.5000 0.5000
0.0000 0.0000 0.5000
0.0000 0.5000 0.0000
0.5000 0.0000 0.0000
0.2402 0.7491 0.7491
0.2461 0.2461 0.2461
0.2509 0.2509 0.7598
0.2509 0.7598 0.2509
0.7491 0.2402 0.7491
0.7491 0.7491 0.2402
0.7539 0.7539 0.7539
0.7598 0.2509 0.2509
```

E_form (meV/atom): -493.0
Total magnetic moment (μB/atom): 0.440



Record 4
The following is a DFT calculation (GGA-PBE) of Li2GaAgF6 after structural relaxation.

Cell and atoms, written as POSCAR:
```
Li2GaAgF6
1.0
5.3592 0.0000 0.0000
2.6785 4.6438 0.0000
0.0036 3.0903 4.8799
Li Ga Ag F
2 1 1 6
Direct
0.0000 0.0000 0.0000
0.4883 0.0230 0.4653
0.6959 0.6084 0.0869
0.2156 0.5689 0.6461
0.0781 0.1763 0.2851
0.3056 0.0215 0.8335
0.4618 0.4600 0.2857
0.6731 0.4711 0.8334
0.7459 0.7926 0.2853
0.8561 0.8390 0.8333
```

Final energy (eV/atom): -4.53
Total magnetic moment (μB/atom): 0.012



Record 5
The following is a DFT calculation (GGA-PBE) of CaPrCd6 after structural relaxation.

Cell and atoms, written as POSCAR:
```
CaPrCd6
1.0
5.0069 0.0000 0.0000
0.0000 3.5795 5.6495
0.0000 -3.5795 5.6495
Ca Pr Cd
1 1 6
Direct
0.0000 0.0000 0.0000
0.5000 0.7136 0.7136
0.0000 0.0497 0.4831
0.0000 0.4831 0.0497
0.0000 0.5266 0.5266
0.5000 0.1876 0.1876
0.5000 0.2306 0.6633
0.5000 0.6633 0.2306
```

E_form (meV/atom): -285.9
Total magnetic moment (μB/atom): 0.000



Record 6
The following is a DFT calculation (GGA-PBE) of Tb5ZnGa4 after structural relaxation.

Cell and atoms, written as POSCAR:
```
Tb5ZnGa4
1.0
3.5879 0.0000 0.0000
0.0000 3.5879 0.0000
0.0000 0.0000 17.9286
Tb Zn Ga
5 1 4
Direct
0.0000 0.0000 0.0000
0.0000 0.0000 0.2003
0.0000 0.0000 0.4011
0.0000 0.0000 0.5989
0.0000 0.0000 0.7997
0.5000 0.5000 0.5000
0.5000 0.5000 0.0999
0.5000 0.5000 0.3022
0.5000 0.5000 0.6978
0.5000 0.5000 0.9001
```

E_form (meV/atom): -540.3
Total magnetic moment (μB/atom): 0.000